Here is a relaxed Th2CoHg crystal from Alexandria via LeMat-Bulk. Energies are from PBE.

Values from the calculation:
* total DFT energy (no corrections): -5.737 eV/atom
* energy of formation from the pure elements: -176 meV/atom
* energy above the lowest structure with this stoichiometry: 98.7 meV per atom

The structure in extended XYZ format:
```
4
Lattice="3.461 0.000 0.000 0.000 3.461 0.000 0.000 0.000 8.113" Properties=species:S:1:pos:R:3 pbc="T T T"
Th 0.000 0.000 1.671
Th 0.000 0.000 6.442
Co 1.731 1.731 0.000
Hg 1.731 1.731 4.056
```